[1]
Material: FeAg
Method: DFT, PBE-GGA
State: relaxed

SG	P4_2/mnm (136)
magnetic moment	3.0	μB/f.u.

abc: 5.137 5.137 5.246
angles: 90.00 90.00 90.00
Fractional positions:
1 Fe 0.170 0.170 0.500
2 Fe 0.830 0.830 0.500
3 Fe 0.330 0.670 0.000
4 Fe 0.670 0.330 0.000
5 Ag 0.684 0.316 0.500
6 Ag 0.316 0.684 0.500
7 Ag 0.184 0.184 0.000
8 Ag 0.816 0.816 0.000

[2]
Material: FeAg3
Method: DFT, PBE-GGA
State: relaxed

SG	Immm (71)
magnetic moment	2.9	μB/f.u.

abc: 5.590 5.590 5.590
angles: 150.23 128.66 60.48
Fractional positions:
1 Ag 0.989 0.989 0.000
2 Ag 0.250 0.750 0.500
3 Ag 0.511 0.511 0.000
4 Fe 0.750 0.250 0.500

[3]
Material: Fe4Ag3
Method: DFT, PBE-GGA
State: relaxed

SG	I4/mmm (139)
magnetic moment	10.6	μB/f.u.

abc: 11.973 11.973 11.973
angles: 165.84 165.84 20.07
Fractional positions:
1 Ag 0.294 0.294 0.000
2 Ag 0.000 0.000 0.000
3 Fe 0.577 0.577 0.000
4 Fe 0.423 0.423 0.000
5 Ag 0.706 0.706 0.000
6 Fe 0.872 0.872 0.000
7 Fe 0.128 0.128 0.000

[4]
Material: Fe2Ag
Method: DFT, PBE-GGA
State: relaxed

SG	I4_1/amd (141)
magnetic moment	3.0	μB/f.u.

abc: 7.398 7.398 7.398
angles: 152.28 152.28 39.61
Fractional positions:
1 Fe 0.420 0.420 0.000
2 Fe 0.580 0.580 0.000
3 Fe 0.330 0.830 0.500
4 Fe 0.170 0.670 0.500
5 Ag 0.750 0.250 0.500
6 Ag 0.000 0.000 0.000

[5]
Material: FeAg3
Method: DFT, PBE-GGA
State: relaxed

SG	Cmmm (65)
magnetic moment	3.1	μB/f.u.

abc: 4.995 4.995 2.806
angles: 90.00 90.00 107.53
Fractional positions:
1 Ag 0.500 0.000 0.500
2 Ag 0.000 0.500 0.500
3 Ag 0.000 0.000 0.000
4 Fe 0.500 0.500 0.000

[6]
Material: FeAg
Method: DFT, PBE-GGA
State: relaxed

SG	Amm2 (38)
magnetic moment	2.8	μB/f.u.

abc: 2.797 11.521 6.300
angles: 90.00 90.00 90.00
Fractional positions:
1 Ag 0.000 0.738 0.801
2 Fe 0.500 0.101 0.579
3 Fe 0.500 0.601 0.079
4 Fe 0.000 0.000 0.329
5 Ag 0.000 0.500 0.411
6 Ag 0.000 0.000 0.911
7 Fe 0.000 0.500 0.829
8 Ag 0.000 0.762 0.301
9 Fe 0.500 0.399 0.079
10 Ag 0.000 0.262 0.801
11 Fe 0.500 0.899 0.579
12 Ag 0.000 0.238 0.301

Number 1: volume 138.4 Å³ per cell, E -38.6 eV per cell. Number 2: volume 67.2 Å³ per cell, E -15.6 eV per cell. Number 3: volume 102.6 Å³ per cell, E -40.4 eV per cell. Number 4: volume 87.5 Å³ per cell, E -34.6 eV per cell. Number 5: volume 66.8 Å³ per cell, E -15.7 eV per cell. Number 6: volume 203.0 Å³ per cell, E -62.1 eV per cell.